# Fe2CF

A relaxed structure of Fe2CF (PBE with a Hubbard U, the Alexandria database).

Structure (POSCAR):
```
Fe2CF
1.0
-0.339 1.423 3.577
-3.466 1.065 1.335
-1.734 -2.085 2.752
C Fe F
1 2 1
Direct
0.000 0.000 0.000 C
0.250 0.250 0.250 Fe
0.750 0.750 0.750 Fe
0.500 0.500 0.500 F
```

Output
Excess energy over the best structure of this formula in the dataset (eV/f.u.): 1.684